An optimized crystal structure of Sm3Y6In. Source: the Alexandria database, functional GGA-PBE.

Cell and atoms, written as POSCAR:
```
Sm3Y6In
1.0
-3.2677 5.3337 0.2232
-8.9547 -5.3312 -3.7022
2.2913 0.9528 10.7776
Sm Y In
6 12 2
Direct
0.4170 0.9539 0.7144 Sm
0.9170 0.7144 0.9539 Sm
0.0720 0.3946 0.6054 Sm
0.5720 0.6054 0.3946 Sm
0.9170 0.0461 0.2856 Sm
0.4170 0.2856 0.0461 Sm
0.0521 0.7093 0.6268 Y
0.5521 0.6268 0.7093 Y
0.3801 0.5646 0.9626 Y
0.8801 0.9626 0.5646 Y
0.4094 0.9399 0.0601 Y
0.6483 0.2848 0.7152 Y
0.1483 0.7152 0.2848 Y
0.9094 0.0601 0.9399 Y
0.3801 0.0374 0.4354 Y
0.8801 0.4354 0.0374 Y
0.0521 0.3732 0.2907 Y
0.5521 0.2907 0.3732 Y
0.1572 0.2349 0.7651 In
0.6572 0.7651 0.2349 In
```

Output
DFT formation energy (meV per atom): -1
Calculated total energy (eV for the cell shown): -111.4

=====

An optimized crystal structure of Sm2Y3In2. Source: the Alexandria database, functional GGA-PBE.

Cell and atoms, written as POSCAR:
```
Sm2Y3In2
1.0
-5.2466 1.0861 0.9804
3.3068 -1.3801 4.0948
1.3761 8.3738 -1.9125
Sm Y In
2 3 2
Direct
0.9225 0.8449 0.2676 Sm
0.0775 0.1551 0.7324 Sm
0.5000 0.0000 0.0000 Y
0.6527 0.3053 0.4578 Y
0.3473 0.6947 0.5422 Y
0.7823 0.5646 0.8470 In
0.2177 0.4354 0.1530 In
```

Output
DFT formation energy (meV per atom): -283
Calculated total energy (eV for the cell shown): -36.3

=====

An optimized crystal structure of Sm3Y2In4. Source: the Alexandria database, functional GGA-PBE.

Cell and atoms, written as POSCAR:
```
Sm3Y2In4
1.0
7.1556 0.0000 0.0000
0.0000 9.8345 0.0000
-3.5778 0.0000 7.8091
Sm Y In
6 4 8
Direct
0.0000 0.0000 0.0000 Sm
0.5000 0.5000 0.0000 Sm
0.5283 0.7500 0.5566 Sm
0.9717 0.2500 0.4434 Sm
0.4717 0.2500 0.4434 Sm
0.0283 0.7500 0.5566 Sm
0.1059 0.5446 0.2117 Y
0.8941 0.4554 0.7883 Y
0.3941 0.0446 0.7883 Y
0.6059 0.9554 0.2117 Y
0.7374 0.7500 0.9747 In
0.7626 0.2500 0.0253 In
0.2626 0.2500 0.0253 In
0.2374 0.7500 0.9747 In
0.1950 0.9804 0.3900 In
0.8050 0.0196 0.6100 In
0.3050 0.4804 0.6100 In
0.6950 0.5196 0.3900 In
```

Output
DFT formation energy (meV per atom): -258
Calculated total energy (eV for the cell shown): -80.7

=====

An optimized crystal structure of SmY2Zn2In2. Source: the Alexandria database, functional GGA-PBE.

Cell and atoms, written as POSCAR:
```
SmY2Zn2In2
1.0
-1.1178 -2.6386 -3.7454
-1.5241 -4.4221 0.6013
-9.5751 0.7030 -0.6065
Sm Y Zn In
1 2 2 2
Direct
0.0000 0.0000 0.0000 Sm
0.1279 0.1279 0.6164 Y
0.8721 0.8721 0.3836 Y
0.6016 0.6016 0.1952 Zn
0.3984 0.3984 0.8048 Zn
0.7387 0.7387 0.7838 In
0.2613 0.2613 0.2162 In
```

Output
DFT formation energy (meV per atom): -303
Calculated total energy (eV for the cell shown): -27.8

=====

no.,density of states at the Fermi level (states/eV per atom)
1,1.294
2,0.840
3,0.692
4,0.501